Entry 1:
Computed, not measured: an optimized crystal structure of YThBe2Si2 at the PBE level of DFT.

Structure (extended XYZ):
```
6
Lattice="-1.551 -2.971 2.007 3.685 -0.219 -1.278 2.658 3.395 7.080" Properties=species:S:1:pos:R:3 pbc="T T T"
Y 1.329 1.698 3.540
Th 0.000 0.000 0.000
Be 0.876 -1.183 2.728
Be 3.915 1.388 5.081
Si 2.165 0.464 6.162
Si 2.626 -0.258 1.647
```

Computed properties:
D(E_F), states/eV/f.u.: 4.380
E_form (uncorrected), eV/f.u.: -4.0

=====

Entry 2:
Computed, not measured: an optimized crystal structure of Ba2CaAu2 at the PBE level of DFT.

Structure (extended XYZ):
```
10
Lattice="-5.100 0.909 6.896 5.362 -4.932 4.616 2.420 3.833 1.285" Properties=species:S:1:pos:R:3 pbc="T T T"
Ca 0.000 0.000 0.000
Ca 0.131 -2.012 5.756
Au 2.775 -3.910 6.439
Au -0.942 -2.382 8.882
Au -2.513 -0.114 5.072
Au 1.205 -1.642 2.630
Ba 3.933 -1.199 4.808
Ba 2.334 -1.618 9.074
Ba -1.251 1.009 7.988
Ba 0.349 1.428 3.722
```

Computed properties:
Distance to the lowest polymorph of the same formula, kJ/mol of formula units: 0.0
D(E_F), states/eV/f.u.: 5.259
Formation energy from the elements, kJ per mole of atoms: -60

=====

Entry 3:
Computed, not measured: an optimized crystal structure of AlCu2P at the PBE level of DFT.

Structure (extended XYZ):
```
4
Lattice="7.734 -0.060 -0.036 7.209 2.802 -0.036 7.209 1.323 2.471" Properties=species:S:1:pos:R:3 pbc="T T T"
P 5.538 1.016 0.600
Al 16.613 3.048 1.799
Cu 22.057 4.047 2.389
Cu 11.170 2.049 1.210
```

Computed properties:
Distance to the lowest polymorph of the same formula, kJ/mol of formula units: 37.0
D(E_F), states/eV/f.u.: 2.090
Formation energy from the elements, kJ per mole of atoms: 6

=====

Entry 4:
Computed, not measured: an optimized crystal structure of CsBaLi2Pd at the PBE level of DFT.

Structure (extended XYZ):
```
5
Lattice="5.525 0.000 0.000 0.000 5.525 0.000 0.000 0.000 5.950" Properties=species:S:1:pos:R:3 pbc="T T T"
Cs 2.762 2.762 2.975
Ba 0.000 0.000 2.975
Pd 0.000 0.000 0.000
Li 0.000 2.762 0.000
Li 2.762 0.000 0.000
```

Computed properties:
D(E_F), states/eV/f.u.: 3.012
Formation energy from the elements, kJ per mole of atoms: -1

=====

Entry 5:
Computed, not measured: an optimized crystal structure of InHgOs4 at the PBE level of DFT.

Structure (extended XYZ):
```
6
Lattice="4.386 -2.098 -2.055 1.710 -4.705 1.673 -0.323 -4.206 -3.173" Properties=species:S:1:pos:R:3 pbc="T T T"
In 0.000 0.000 0.000
Hg 4.329 -8.257 -2.666
Os 4.358 -5.177 -2.361
Os 2.003 -6.232 -2.920
Os 3.019 -6.481 -0.496
Os 2.165 -4.128 -1.333
```

Computed properties:
D(E_F), states/eV/f.u.: 9.172
Formation energy from the elements, kJ per mole of atoms: 85

=====

Entry 6:
Computed, not measured: an optimized crystal structure of Th2ScBe3Pt4 at the PBE level of DFT.

Structure (extended XYZ):
```
10
Lattice="-3.288 0.338 2.322 1.504 -2.765 2.532 4.841 7.864 5.711" Properties=species:S:1:pos:R:3 pbc="T T T"
Th -0.525 1.987 2.482
Th 4.473 4.663 5.656
Sc 1.528 2.718 5.282
Be 2.420 3.932 2.855
Be 2.651 7.146 6.228
Be 1.298 -0.496 1.910
Pt -0.892 -1.214 2.427
Pt 0.000 0.000 0.000
Pt 1.567 5.384 4.949
Pt 2.382 1.266 3.189
```

Computed properties:
D(E_F), states/eV/f.u.: 6.619
Formation energy from the elements, kJ per mole of atoms: -86

=====

Entry 7:
Computed, not measured: an optimized crystal structure of ScSbH2 at the PBE level of DFT.

Structure (extended XYZ):
```
4
Lattice="3.350 0.000 0.000 1.675 2.901 0.000 1.675 0.967 5.419" Properties=species:S:1:pos:R:3 pbc="T T T"
Sc 0.000 0.000 0.000
Sb 3.350 1.934 2.710
H 1.675 0.967 0.449
H 5.025 2.901 4.970
```

Computed properties:
Distance to the lowest polymorph of the same formula, kJ/mol of formula units: 9.2
D(E_F), states/eV/f.u.: 1.144

=====

Entry 8:
Computed, not measured: an optimized crystal structure of NaMg2Cd at the PBE level of DFT.

Structure (extended XYZ):
```
4
Lattice="3.686 0.000 0.000 0.000 3.686 0.000 0.000 0.000 7.257" Properties=species:S:1:pos:R:3 pbc="T T T"
Na 1.843 1.843 3.629
Mg 0.000 0.000 5.649
Mg 0.000 0.000 1.608
Cd 1.843 1.843 0.000
```

Computed properties:
D(E_F), states/eV/f.u.: 2.106
Formation energy from the elements, kJ per mole of atoms: 2

=====

Entry 9:
Computed, not measured: an optimized crystal structure of DyFeC at the PBE level of DFT.

Structure (extended XYZ):
```
6
Lattice="-0.355 1.401 2.911 1.702 -4.616 2.429 4.332 3.173 -0.998" Properties=species:S:1:pos:R:3 pbc="T T T"
Dy 4.302 0.472 3.019
Dy 1.376 -0.515 1.323
Fe 2.748 -1.754 3.901
Fe 2.930 1.712 0.441
C 2.291 1.611 2.226
C 3.388 -1.654 2.116
```

Computed properties:
Distance to the lowest polymorph of the same formula, kJ/mol of formula units: 6.6
D(E_F), states/eV/f.u.: 2.379
Formation energy from the elements, kJ per mole of atoms: -15

=====

Entry 10:
Computed, not measured: an optimized crystal structure of BeAlNi6 at the PBE level of DFT.

Structure (extended XYZ):
```
32
Lattice="6.067 -0.011 0.000 -2.054 5.709 0.000 0.000 0.000 9.924" Properties=species:S:1:pos:R:3 pbc="T T T"
Al -0.059 4.304 2.481
Al 4.072 1.394 2.481
Al 0.000 0.000 4.979
Al 0.000 0.000 9.908
Be -0.059 4.304 7.443
Be 4.072 1.394 7.443
Be 2.006 2.849 4.998
Be 2.006 2.849 9.889
Ni -0.018 4.275 5.036
Ni 4.013 3.517 6.239
Ni -0.001 2.181 6.239
Ni 4.031 1.423 5.036
Ni 2.054 0.734 6.239
Ni 1.959 4.964 6.239
Ni 2.006 2.849 2.481
Ni 0.030 2.173 3.762
Ni 2.035 0.760 3.762
Ni -0.018 4.275 9.851
Ni 3.983 3.525 1.201
Ni 0.030 2.173 1.201
Ni 4.031 1.423 9.851
Ni 2.035 0.760 1.201
Ni 1.977 4.938 1.201
Ni 2.006 2.849 7.443
Ni -0.001 2.181 8.648
Ni 2.054 0.734 8.648
Ni 0.000 0.000 2.481
Ni 1.977 4.938 3.762
Ni 3.983 3.525 3.762
Ni 0.000 0.000 7.443
Ni 1.959 4.964 8.648
Ni 4.013 3.517 8.648
```

Computed properties:
Distance to the lowest polymorph of the same formula, kJ/mol of formula units: 4.3
D(E_F), states/eV/f.u.: 7.828
Formation energy from the elements, kJ per mole of atoms: -28

=====

Entry 11:
Computed, not measured: an optimized crystal structure of NdH3Ru at the PBE level of DFT.

Structure (extended XYZ):
```
5
Lattice="-0.228 -2.534 2.730 3.309 -1.394 -1.017 1.710 2.358 2.332" Properties=species:S:1:pos:R:3 pbc="T T T"
Ru 0.000 0.000 0.000
Nd 2.395 -0.785 2.023
H 1.654 -0.697 -0.509
H 0.855 1.179 1.166
H -0.114 -1.267 1.365
```

Computed properties:
E, eV per atom: -5.236
D(E_F), states/eV/f.u.: 2.964

=====

Entry 12:
Computed, not measured: an optimized crystal structure of ZrSc2Bi at the PBE level of DFT.

Structure (extended XYZ):
```
4
Lattice="3.396 0.000 0.000 1.698 2.941 0.000 1.698 0.980 9.992" Properties=species:S:1:pos:R:3 pbc="T T T"
Sc 1.698 0.980 2.527
Sc 5.094 2.941 7.465
Bi 0.000 0.000 0.000
Zr 3.396 1.961 4.996
```

Computed properties:
D(E_F), states/eV/f.u.: 5.630
Formation energy from the elements, kJ per mole of atoms: -14